An optimized crystal structure of VTc2Ir2, computed with GGA-PBE.

Geometry as CIF:
```
data_VTc2Ir2
_chemical_formula_sum 'V2 Tc4 Ir4'
_space_group_name_H-M_alt 'P 4/m b m'
_space_group_IT_number 127
_space_group_name_Hall '-P 4 2ab'
_cell_length_a 7.4961
_cell_length_b 7.4961
_cell_length_c 2.7308
_cell_angle_alpha 90.00
_cell_angle_beta 90.00
_cell_angle_gamma 90.00
loop_
_atom_site_label
_atom_site_fract_x
_atom_site_fract_y
_atom_site_fract_z
V1 0.0000 0.0000 0.0000
Tc1 0.1731 0.3269 0.5000
Ir1 0.1245 0.6245 0.0000
```

Summary:
**Total magnetization**: 0.41 μB/f.u.
**E_tot**: -9.458 eV per atom